The following is a DFT calculation (GGA-PBE) of a relaxed Ca2Pr2Mg crystal.

Cell: 12.9376 12.9376 12.9376 Å, 163.41 163.41 23.54°
Closest atoms and distances in Å follow each position.
Element x y z (fractional)
Ca: 0.0882 0.0882 0.0000  4 Mg 3.46, 4 Ca 3.73
Ca: 0.9118 0.9118 0.0000  4 Mg 3.46, 4 Ca 3.73
Pr: 0.2992 0.2992 0.0000  8 Pr 3.63-3.73, 4 Ca 3.89
Pr: 0.7008 0.7008 0.0000  8 Pr 3.63-3.73, 4 Ca 3.89
Mg: 0.5000 0.5000 0.0000  8 Ca 3.46, 4 Mg 3.73

energy of formation: -0.01 eV/atom
calculated total energy: -15.2 eV for the cell shown

---

The following is a DFT calculation (GGA-PBE) of a relaxed Ca2PrMg crystal.

Cell: 4.2099 4.2099 7.8558 Å, 90.00 90.00 90.00°
Closest atoms and distances in Å follow each position.
Element x y z (fractional)
Ca: 0.0000 0.0000 0.2299  4 Mg 3.48, 1 Ca 3.61, 4 Pr 3.66
Ca: 0.0000 0.0000 0.7701  4 Mg 3.48, 1 Ca 3.61, 4 Pr 3.66
Pr: 0.5000 0.5000 0.5000  8 Ca 3.66, 2 Mg 3.93
Mg: 0.5000 0.5000 0.0000  8 Ca 3.48

excess energy over the best structure of this formula in the dataset: 24 kJ/mol of formula units
energy of formation: 0.04 eV/atom
calculated total energy: -10.2 eV for the cell shown

---

The following is a DFT calculation (GGA-PBE) of a relaxed CaPr3Mg8 crystal.

Cell: 10.6721 10.6721 10.6721 Å, 33.66 33.66 33.66°
Closest atoms and distances in Å follow each position.
Element x y z (fractional)
Ca: 0.0000 0.0000 0.0000  12 Mg 3.62-3.63, 4 Pr 3.79-3.80
Pr: 0.1259 0.1259 0.1259  12 Mg 3.58-3.62, 3 Pr 3.78, 1 Ca 3.80
Pr: 0.5009 0.5009 0.5009  12 Mg 3.60-3.63, 4 Pr 3.73-3.78
Pr: 0.6246 0.6246 0.6246  12 Mg 3.62-3.64, 1 Pr 3.73, 3 Ca 3.79
Mg: 0.0618 0.5638 0.5638  6 Mg 3.07-3.11
Mg: 0.0629 0.0629 0.5609  6 Mg 3.07-3.10
Mg: 0.0629 0.5609 0.0629  6 Mg 3.07-3.10
Mg: 0.3121 0.3121 0.3121  6 Mg 3.07-3.11
Mg: 0.5609 0.0629 0.0629  6 Mg 3.07-3.10
Mg: 0.5638 0.0618 0.5638  6 Mg 3.07-3.11
Mg: 0.5638 0.5638 0.0618  6 Mg 3.07-3.11
Mg: 0.8128 0.8128 0.8128  6 Mg 3.07

energy of formation: -0.11 eV/atom
calculated total energy: -30.5 eV for the cell shown

---

The following is a DFT calculation (GGA-PBE) of a relaxed CaPrMg6 crystal.

Cell: 5.2429 6.7581 6.7581 Å, 64.21 90.00 90.00°
Closest atoms and distances in Å follow each position.
Element x y z (fractional)
Ca: 0.0000 0.0000 0.0000  12 Mg 3.37-3.60
Pr: 0.5000 0.7077 0.7077  12 Mg 3.35-3.60
Mg: 0.0000 0.0383 0.4862  7 Mg 3.18-3.40, 2 Pr 3.35, 2 Ca 3.37-3.41
Mg: 0.0000 0.4862 0.0383  7 Mg 3.18-3.40, 2 Pr 3.35, 2 Ca 3.37-3.41
Mg: 0.0000 0.5215 0.5215  8 Mg 3.18-3.40, 2 Pr 3.38
Mg: 0.5000 0.1909 0.1909  8 Mg 3.18-3.47, 2 Ca 3.41
Mg: 0.5000 0.2252 0.6638  7 Mg 3.15-3.47, 2 Ca 3.37, 2 Pr 3.38-3.40
Mg: 0.5000 0.6638 0.2252  7 Mg 3.15-3.47, 2 Ca 3.37, 2 Pr 3.38-3.40

energy of formation: -0.07 eV/atom
calculated total energy: -16.9 eV for the cell shown